Record 1
The following is a PBE calculation of a geometry-optimized MgInBi2 structure, from Alexandria via LeMat-Bulk.

Cell: 5.4009 4.1803 10.5247 Å, 90.00 100.44 90.00°
Space group C2/m (No. 12)
Inequivalent atoms, fractional coordinates:
Mg 0.0000 0.0000 0.0000
In 0.0000 0.0000 0.5000
Bi 0.0450 0.5000 0.7734

Summary:
formation energy: -0.041 eV per atom

Record 2
The following is a PBE calculation of a geometry-optimized SmTlPbCl6 structure, from Alexandria via LeMat-Bulk.

Cell: 7.4148 7.4148 13.5067 Å, 90.00 90.00 120.00°
Space group P-31c (No. 163)
Inequivalent atoms, fractional coordinates:
Sm 0.3333 0.6667 0.2500
Tl 0.0000 0.0000 0.0000
Pb 0.3333 0.6667 0.7500
Cl 0.0200 0.3755 0.1358

Summary:
energy relative to the elements, uncorrected: -1.646 eV/atom

Record 3
The following is a PBE calculation of a geometry-optimized PrBiIr structure, from Alexandria via LeMat-Bulk.

Cell: 4.7746 4.7746 3.7764 Å, 90.00 90.00 120.00°
Space group P-6m2 (No. 187)
Inequivalent atoms, fractional coordinates:
Pr 0.0000 0.0000 0.0000
Bi 0.3333 0.6667 0.5000
Ir 0.6667 0.3333 0.5000

Summary:
formation energy: -0.452 eV per atom

Record 4
The following is a PBE calculation of a geometry-optimized NaBi2Pb3Se6 structure, from Alexandria via LeMat-Bulk.

Cell: 18.9021 4.4192 8.5687 Å, 90.00 103.58 90.00°
Space group C2/m (No. 12)
Inequivalent atoms, fractional coordinates:
Na 0.0000 0.0000 0.0000
Bi 0.1606 0.5000 0.3269
Pb 0.0000 0.0000 0.5000
Pb 0.1648 0.5000 0.8318
Se 0.0060 0.5000 0.2491
Se 0.1699 0.0000 0.0964
Se 0.1697 0.0000 0.5794

Summary:
energy relative to the elements, uncorrected: -0.538 eV/atom

Record 5
The following is a PBE calculation of a geometry-optimized TlCdPb2 structure, from Alexandria via LeMat-Bulk.

Cell: 4.8601 4.8601 9.9657 Å, 90.00 90.00 90.00°
Space group I-4m2 (No. 119)
Inequivalent atoms, fractional coordinates:
Tl 0.0000 0.0000 0.0000
Cd 0.0000 0.5000 0.7500
Pb 0.0000 0.0000 0.5000
Pb 0.0000 0.5000 0.2500

Summary:
formation energy: 0.043 eV per atom
energy relative to the lowest polymorph listed for this composition: 26 meV per atom

Record 6
The following is a PBE calculation of a geometry-optimized CaBeTl2 structure, from Alexandria via LeMat-Bulk.

Cell: 4.5186 5.5990 7.5727 Å, 90.00 90.00 90.00°
Space group Cmmm (No. 65)
Inequivalent atoms, fractional coordinates:
Ca 0.0000 0.0000 0.0000
Be 0.0000 0.0000 0.5000
Tl 0.0000 0.5000 0.2963

Summary:
formation energy: 0.163 eV per atom
energy relative to the lowest polymorph listed for this composition: 97 meV per atom

Record 7
The following is a PBE calculation of a geometry-optimized PaTcH2 structure, from Alexandria via LeMat-Bulk.

Cell: 3.0565 3.0565 16.0868 Å, 90.00 90.00 120.00°
Space group R-3m (No. 166, hexagonal axes)
Inequivalent atoms, fractional coordinates:
Pa 0.0000 0.0000 0.0000
Tc 0.0000 0.0000 0.5000
H 0.0000 0.0000 0.2189

Summary:
E_tot: -80.38 eV/cell

Record 8
The following is a PBE calculation of a geometry-optimized PrErBr structure, from Alexandria via LeMat-Bulk.

Cell: 3.7552 3.7552 7.5123 Å, 90.00 90.00 120.00°
Space group P3m1 (No. 156)
Inequivalent atoms, fractional coordinates:
Pr 0.0000 0.0000 0.0000
Er 0.3333 0.6667 0.6346
Br 0.6667 0.3333 0.3390

Summary:
energy relative to the lowest polymorph listed for this composition: 0 meV per atom
energy relative to the elements, uncorrected: -0.742 eV/atom

Record 9
The following is a PBE calculation of a geometry-optimized KZrNi4 structure, from Alexandria via LeMat-Bulk.

Cell: 7.1057 7.1057 7.1057 Å, 90.00 90.00 90.00°
Space group F-43m (No. 216)
Inequivalent atoms, fractional coordinates:
K 0.0000 0.0000 0.0000
Zr 0.2500 0.2500 0.2500
Ni 0.1240 0.1240 0.6240

Summary:
formation energy: 0.210 eV per atom

Record 10
The following is a PBE calculation of a geometry-optimized CsGa2CS structure, from Alexandria via LeMat-Bulk.

Cell: 4.6411 4.6411 5.4305 Å, 90.00 90.00 90.00°
Space group P4/mmm (No. 123)
Inequivalent atoms, fractional coordinates:
Cs 0.0000 0.0000 0.0000
Ga 0.0000 0.5000 0.5000
C 0.0000 0.0000 0.5000
S 0.5000 0.5000 0.0000

Summary:
energy relative to the elements, uncorrected: 0.760 eV/atom

Record 11
The following is a PBE calculation of a geometry-optimized TmCuSi structure, from Alexandria via LeMat-Bulk.

Cell: 4.1338 4.1338 7.2636 Å, 90.00 90.00 120.00°
Space group P6_3/mmc (No. 194)
Inequivalent atoms, fractional coordinates:
Tm 0.0000 0.0000 0.0000
Cu 0.3333 0.6667 0.2500
Si 0.3333 0.6667 0.7500

Summary:
energy relative to the elements, uncorrected: -0.668 eV/atom

Record 12
The following is a PBE calculation of a geometry-optimized FeSiP4 structure, from Alexandria via LeMat-Bulk.

Cell: 7.0767 7.0767 7.0767 Å, 90.00 90.00 90.00°
Space group F-43m (No. 216)
Inequivalent atoms, fractional coordinates:
Fe 0.0000 0.0000 0.0000
Si 0.2500 0.2500 0.7500
P 0.1257 0.1257 0.3743

Summary:
energy relative to the lowest polymorph listed for this composition: 648 meV per atom
energy relative to the elements, uncorrected: 0.810 eV/atom

Record 13
The following is a PBE calculation of a geometry-optimized LiHfPaRu structure, from Alexandria via LeMat-Bulk.

Cell: 6.7290 6.7290 6.7290 Å, 90.00 90.00 90.00°
Space group F-43m (No. 216)
Inequivalent atoms, fractional coordinates:
Li 0.0000 0.0000 0.0000
Hf 0.2500 0.2500 0.7500
Pa 0.2500 0.2500 0.2500
Ru 0.0000 0.0000 0.5000

Summary:
formation energy: -0.065 eV per atom

Record 14
The following is a PBE calculation of a geometry-optimized MnSb2Au structure, from Alexandria via LeMat-Bulk.

Cell: 3.2342 3.2342 8.5337 Å, 90.00 90.00 90.00°
Space group P4mm (No. 99)
Inequivalent atoms, fractional coordinates:
Mn 0.0000 0.0000 0.0000
Sb 0.0000 0.0000 0.5762
Sb 0.5000 0.5000 0.2165
Au 0.5000 0.5000 0.8168

Summary:
energy relative to the lowest polymorph listed for this composition: 78 meV per atom
energy relative to the elements, uncorrected: 0.108 eV/atom

Record 15
The following is a PBE calculation of a geometry-optimized InRuCl2 structure, from Alexandria via LeMat-Bulk.

Cell: 6.1595 9.0508 3.3965 Å, 90.00 122.48 90.00°
Space group C2/m (No. 12)
Inequivalent atoms, fractional coordinates:
In 0.0000 0.0000 0.0000
Ru 0.0000 0.5000 0.0000
Cl 0.2500 0.2500 0.0000

Summary:
energy relative to the lowest polymorph listed for this composition: 552 meV per atom
energy relative to the elements, uncorrected: 0.312 eV/atom

Record 16
The following is a PBE calculation of a geometry-optimized AlRu2Cl structure, from Alexandria via LeMat-Bulk.

Cell: 6.1274 6.1274 6.1274 Å, 90.00 90.00 90.00°
Space group Fm-3m (No. 225)
Inequivalent atoms, fractional coordinates:
Al 0.0000 0.0000 0.0000
Ru 0.2500 0.2500 0.2500
Cl 0.0000 0.0000 0.5000

Summary:
energy relative to the lowest polymorph listed for this composition: 592 meV per atom
energy relative to the elements, uncorrected: 0.487 eV/atom

Record 17
The following is a PBE calculation of a geometry-optimized Li5PaO6 structure, from Alexandria via LeMat-Bulk.

Cell: 5.3101 9.2431 5.2594 Å, 90.00 108.98 90.00°
Space group C2/m (No. 12)
Inequivalent atoms, fractional coordinates:
Li 0.0000 0.0000 0.0000
Li 0.0000 0.1665 0.5000
Li 0.0000 0.3148 0.0000
Pa 0.0000 0.5000 0.5000
O 0.2448 0.3377 0.7469
O 0.2464 0.5000 0.2604

Summary:
energy relative to the elements, uncorrected: -2.187 eV/atom

Record 18
The following is a PBE calculation of a geometry-optimized Tb3YCd6 structure, from Alexandria via LeMat-Bulk.

Cell: 9.2238 5.1625 11.0580 Å, 90.00 105.36 90.00°
Space group P2_1/m (No. 11)
Inequivalent atoms, fractional coordinates:
Tb 0.0268 0.2500 0.3934
Tb 0.1491 0.7500 0.2073
Tb 0.2607 0.2500 0.0029
Y 0.4441 0.2500 0.6085
Cd 0.0511 0.7500 0.9052
Cd 0.1596 0.2500 0.7086
Cd 0.2613 0.7500 0.5023
Cd 0.3497 0.2500 0.3087
Cd 0.3569 0.7500 0.8057
Cd 0.4486 0.7500 0.1000

Summary:
formation energy: -0.298 eV per atom

Record 19
The following is a PBE calculation of a geometry-optimized NaGa3Ge3 structure, from Alexandria via LeMat-Bulk.

Cell: 10.1793 4.1164 10.1849 Å, 90.00 119.97 90.00°
Space group P2_1/m (No. 11)
Inequivalent atoms, fractional coordinates:
Na 0.1667 0.2500 0.3333
Ga 0.0915 0.2500 0.6681
Ga 0.1681 0.7500 0.0764
Ga 0.4236 0.7500 0.5915
Ge 0.0881 0.2500 0.9146
Ge 0.1734 0.7500 0.5879
Ge 0.4144 0.7500 0.3264

Summary:
formation energy: 0.031 eV per atom
energy relative to the lowest polymorph listed for this composition: 0 meV per atom

Record 20
The following is a PBE calculation of a geometry-optimized KPmMgS3 structure, from Alexandria via LeMat-Bulk.

Cell: 8.8132 4.1892 9.8722 Å, 90.00 105.50 90.00°
Space group P2_1/m (No. 11)
Inequivalent atoms, fractional coordinates:
K 0.1927 0.2500 0.2060
Pm 0.3352 0.7500 0.8585
Mg 0.0836 0.2500 0.6063
S 0.1150 0.2500 0.8559
S 0.1938 0.7500 0.5415
S 0.4523 0.7500 0.1481

Summary:
energy relative to the elements, uncorrected: -1.651 eV/atom

Record 21
The following is a PBE calculation of a geometry-optimized AcLaDyY3 structure, from Alexandria via LeMat-Bulk.

Cell: 10.9882 3.6833 10.9886 Å, 90.00 109.84 90.00°
Space group P2_1/m (No. 11)
Inequivalent atoms, fractional coordinates:
Ac 0.2113 0.2500 0.3700
La 0.1300 0.7500 0.6296
Dy 0.3805 0.2500 0.8809
Y 0.0450 0.2500 0.8827
Y 0.2953 0.7500 0.1163
Y 0.4606 0.7500 0.6319

Summary:
formation energy: 0.040 eV per atom

Record 22
The following is a PBE calculation of a geometry-optimized CdPtAuC2 structure, from Alexandria via LeMat-Bulk.

Cell: 3.8689 3.8689 6.8939 Å, 90.00 90.00 90.00°
Space group P4/mmm (No. 123)
Inequivalent atoms, fractional coordinates:
Cd 0.0000 0.0000 0.0000
Pt 0.5000 0.5000 0.5000
Au 0.5000 0.5000 0.0000
C 0.0000 0.5000 0.5000

Summary:
formation energy: 1.382 eV per atom

Record 23
The following is a PBE calculation of a geometry-optimized ThMg2Al structure, from Alexandria via LeMat-Bulk.

Cell: 4.5233 4.5233 4.8397 Å, 90.00 90.00 90.00°
Space group P4/mmm (No. 123)
Inequivalent atoms, fractional coordinates:
Th 0.0000 0.0000 0.0000
Mg 0.0000 0.5000 0.5000
Al 0.5000 0.5000 0.0000

Summary:
formation energy: -0.089 eV per atom
energy relative to the lowest polymorph listed for this composition: 0 meV per atom

Record 24
The following is a PBE calculation of a geometry-optimized BaTl2Ga2 structure, from Alexandria via LeMat-Bulk.

Cell: 8.6782 8.6782 3.8343 Å, 90.00 90.00 90.00°
Space group P4/mbm (No. 127)
Inequivalent atoms, fractional coordinates:
Ba 0.0000 0.0000 0.0000
Tl 0.1707 0.3293 0.5000
Ga 0.1147 0.6147 0.0000

Summary:
formation energy: -0.122 eV per atom
energy relative to the lowest polymorph listed for this composition: 177 meV per atom

Record 25
The following is a PBE calculation of a geometry-optimized PaTlSn2 structure, from Alexandria via LeMat-Bulk.

Cell: 4.7547 4.7547 4.5266 Å, 90.00 90.00 90.00°
Space group P4/mmm (No. 123)
Inequivalent atoms, fractional coordinates:
Pa 0.0000 0.0000 0.0000
Tl 0.5000 0.5000 0.0000
Sn 0.0000 0.5000 0.5000

Summary:
formation energy: -0.180 eV per atom
energy relative to the lowest polymorph listed for this composition: 0 meV per atom

Record 26
The following is a PBE calculation of a geometry-optimized PaCr2Tc structure, from Alexandria via LeMat-Bulk.

Cell: 3.1739 3.1739 6.1929 Å, 90.00 90.00 90.00°
Space group P4/mmm (No. 123)
Inequivalent atoms, fractional coordinates:
Pa 0.0000 0.0000 0.0000
Cr 0.5000 0.5000 0.2646
Tc 0.0000 0.0000 0.5000

Summary:
formation energy: 0.347 eV per atom
energy relative to the lowest polymorph listed for this composition: 122 meV per atom